Record 1
Entry from Alexandria: crystalline KCd2Ag2 at its relaxed geometry (PBE).

Structure (CIF):
```
data_KCd2Ag2
_symmetry_space_group_name_H-M 'P -1'
_symmetry_Int_Tables_number 2
_symmetry_space_group_name_Hall '-P 1'
_cell_length_a 6.163
_cell_length_b 6.797
_cell_length_c 8.068
_cell_angle_alpha 80.33
_cell_angle_beta 67.77
_cell_angle_gamma 63.56
loop_
_atom_site_label
_atom_site_fract_x
_atom_site_fract_y
_atom_site_fract_z
K1 0.126 0.248 0.250
Cd1 0.171 0.157 0.751
Cd2 0.424 0.652 0.249
Ag1 0.277 0.753 0.945
Ag2 0.470 0.753 0.554
```

Results
Energy of formation from the pure elements in eV/atom: -0.01
Calculated volume in A^3/atom: 28.02
Energy above the most stable polymorph in this dataset in eV/atom: 0.0340

---

Record 2
Entry from Alexandria: crystalline KCdAg at its relaxed geometry (PBE).

Structure (CIF):
```
data_KCdAg
_symmetry_space_group_name_H-M 'I m m a'
_symmetry_Int_Tables_number 74
_symmetry_space_group_name_Hall '-I 2b 2'
_cell_length_a 6.100
_cell_length_b 6.278
_cell_length_c 8.730
_cell_angle_alpha 90.00
_cell_angle_beta 90.00
_cell_angle_gamma 90.00
loop_
_atom_site_label
_atom_site_fract_x
_atom_site_fract_y
_atom_site_fract_z
K1 0.000 0.250 0.128
Cd1 0.250 0.250 0.750
Ag1 0.000 0.000 0.500
```

Results
Energy of formation from the pure elements in eV/atom: -0.04
Calculated volume in A^3/atom: 27.86
Energy above the most stable polymorph in this dataset in eV/atom: 0.0000

---

Record 3
Entry from Alexandria: crystalline KCdAg4 at its relaxed geometry (PBE).

Structure (CIF):
```
data_KCdAg4
_symmetry_space_group_name_H-M 'P m m a'
_symmetry_Int_Tables_number 51
_symmetry_space_group_name_Hall '-P 2a 2a'
_cell_length_a 8.053
_cell_length_b 4.416
_cell_length_c 8.906
_cell_angle_alpha 90.00
_cell_angle_beta 90.00
_cell_angle_gamma 90.00
loop_
_atom_site_label
_atom_site_fract_x
_atom_site_fract_y
_atom_site_fract_z
K1 0.250 0.000 0.128
Cd1 0.250 0.000 0.741
Ag1 0.000 0.000 0.500
Ag2 0.045 0.500 0.715
Ag3 0.250 0.500 0.449
```

Results
Energy of formation from the pure elements in eV/atom: 0.08
Calculated volume in A^3/atom: 26.39
Energy above the most stable polymorph in this dataset in eV/atom: 0.0652

---

Record 4
Entry from Alexandria: crystalline K17Cd11Ag at its relaxed geometry (PBE).

Structure (CIF):
```
data_K17Cd11Ag
_symmetry_space_group_name_H-M 'C 1 m 1'
_symmetry_Int_Tables_number 8
_symmetry_space_group_name_Hall 'C -2y'
_cell_length_a 13.654
_cell_length_b 17.668
_cell_length_c 11.169
_cell_angle_alpha 90.00
_cell_angle_beta 115.01
_cell_angle_gamma 90.00
loop_
_atom_site_label
_atom_site_fract_x
_atom_site_fract_y
_atom_site_fract_z
K1 0.000 0.000 0.000
K2 0.001 0.000 0.380
K3 0.025 0.379 0.028
K4 0.040 0.386 0.381
K5 0.147 0.500 0.770
K6 0.213 0.209 0.030
K7 0.279 0.000 0.053
K8 0.289 0.000 0.667
K9 0.314 0.315 0.379
K10 0.329 0.321 0.802
K11 0.478 0.197 0.657
Cd1 0.009 0.182 0.203
Cd2 0.050 0.091 0.698
Cd3 0.139 0.180 0.519
Cd4 0.230 0.089 0.337
Cd5 0.301 0.414 0.092
Cd6 0.323 0.500 0.560
Ag1 0.221 0.500 0.267
```

Results
Energy of formation from the pure elements in eV/atom: -0.02
Calculated volume in A^3/atom: 42.10

---

Record 5
Entry from Alexandria: crystalline K2CdAg2 at its relaxed geometry (PBE).

Structure (CIF):
```
data_K2CdAg2
_symmetry_space_group_name_H-M 'I 4/m m m'
_symmetry_Int_Tables_number 139
_symmetry_space_group_name_Hall '-I 4 2'
_cell_length_a 3.942
_cell_length_b 3.942
_cell_length_c 21.480
_cell_angle_alpha 90.00
_cell_angle_beta 90.00
_cell_angle_gamma 90.00
loop_
_atom_site_label
_atom_site_fract_x
_atom_site_fract_y
_atom_site_fract_z
K1 0.000 0.000 0.117
Cd1 0.000 0.000 0.500
Ag1 0.000 0.500 0.250
```

Results
Energy of formation from the pure elements in eV/atom: 0.07
Calculated volume in A^3/atom: 33.37
Energy above the most stable polymorph in this dataset in eV/atom: 0.1083

---

Record 6
Entry from Alexandria: crystalline K3Cd4Ag4 at its relaxed geometry (PBE).

Structure (CIF):
```
data_K3Cd4Ag4
_symmetry_space_group_name_H-M 'I -4 3 m'
_symmetry_Int_Tables_number 217
_symmetry_space_group_name_Hall 'I -4 2 3'
_cell_length_a 8.771
_cell_length_b 8.771
_cell_length_c 8.771
_cell_angle_alpha 90.00
_cell_angle_beta 90.00
_cell_angle_gamma 90.00
loop_
_atom_site_label
_atom_site_fract_x
_atom_site_fract_y
_atom_site_fract_z
K1 0.000 0.000 0.500
Cd1 0.125 0.125 0.125
Ag1 0.194 0.194 0.806
```

Results
Energy of formation from the pure elements in eV/atom: -0.04
Calculated volume in A^3/atom: 30.67

---

Record 7
Entry from Alexandria: crystalline K2CdAg2 at its relaxed geometry (PBE).

Structure (CIF):
```
data_K2CdAg2
_symmetry_space_group_name_H-M 'I m m m'
_symmetry_Int_Tables_number 71
_symmetry_space_group_name_Hall '-I 2 2'
_cell_length_a 4.942
_cell_length_b 5.823
_cell_length_c 10.900
_cell_angle_alpha 90.00
_cell_angle_beta 90.00
_cell_angle_gamma 90.00
loop_
_atom_site_label
_atom_site_fract_x
_atom_site_fract_y
_atom_site_fract_z
K1 0.000 0.000 0.200
Cd1 0.000 0.500 0.000
Ag1 0.000 0.257 0.500
```

Results
Energy of formation from the pure elements in eV/atom: -0.04
Calculated volume in A^3/atom: 31.37
Energy above the most stable polymorph in this dataset in eV/atom: 0.0000

---

Record 8
Entry from Alexandria: crystalline KCd2Ag2 at its relaxed geometry (PBE).

Structure (CIF):
```
data_KCd2Ag2
_symmetry_space_group_name_H-M 'P 4/m b m'
_symmetry_Int_Tables_number 127
_symmetry_space_group_name_Hall '-P 4 2ab'
_cell_length_a 8.812
_cell_length_b 8.812
_cell_length_c 3.023
_cell_angle_alpha 90.00
_cell_angle_beta 90.00
_cell_angle_gamma 90.00
loop_
_atom_site_label
_atom_site_fract_x
_atom_site_fract_y
_atom_site_fract_z
K1 0.000 0.000 0.000
Cd1 0.123 0.377 0.000
Ag1 0.172 0.672 0.500
```

Results
Energy of formation from the pure elements in eV/atom: -0.04
Calculated volume in A^3/atom: 23.47
Energy above the most stable polymorph in this dataset in eV/atom: 0.0000

---

Record 9
Entry from Alexandria: crystalline KCd2Ag6 at its relaxed geometry (PBE).

Structure (CIF):
```
data_KCd2Ag6
_symmetry_space_group_name_H-M 'I m m m'
_symmetry_Int_Tables_number 71
_symmetry_space_group_name_Hall '-I 2 2'
_cell_length_a 4.149
_cell_length_b 7.712
_cell_length_c 13.435
_cell_angle_alpha 90.00
_cell_angle_beta 90.00
_cell_angle_gamma 90.00
loop_
_atom_site_label
_atom_site_fract_x
_atom_site_fract_y
_atom_site_fract_z
K1 0.000 0.000 0.000
Cd1 0.000 0.500 0.127
Ag1 0.000 0.174 0.500
Ag2 0.000 0.312 0.311
```

Results
Energy of formation from the pure elements in eV/atom: 0.13
Calculated volume in A^3/atom: 23.88

---

Record 10
Entry from Alexandria: crystalline K3CdAg at its relaxed geometry (PBE).

Structure (CIF):
```
data_K3CdAg
_symmetry_space_group_name_H-M 'P m -3 m'
_symmetry_Int_Tables_number 221
_symmetry_space_group_name_Hall '-P 4 2 3'
_cell_length_a 6.448
_cell_length_b 6.448
_cell_length_c 6.448
_cell_angle_alpha 90.00
_cell_angle_beta 90.00
_cell_angle_gamma 90.00
loop_
_atom_site_label
_atom_site_fract_x
_atom_site_fract_y
_atom_site_fract_z
K1 0.000 0.000 0.500
Cd1 0.500 0.500 0.500
Ag1 0.000 0.000 0.000
```

Results
Energy of formation from the pure elements in eV/atom: 0.14
Calculated volume in A^3/atom: 53.62
Energy above the most stable polymorph in this dataset in eV/atom: 0.1509

---

Record 11
Entry from Alexandria: crystalline K2Cd3Ag2 at its relaxed geometry (PBE).

Structure (CIF):
```
data_K2Cd3Ag2
_symmetry_space_group_name_H-M 'C 1 2/m 1'
_symmetry_Int_Tables_number 12
_symmetry_space_group_name_Hall '-C 2y'
_cell_length_a 12.394
_cell_length_b 4.849
_cell_length_c 8.172
_cell_angle_alpha 90.00
_cell_angle_beta 121.31
_cell_angle_gamma 90.00
loop_
_atom_site_label
_atom_site_fract_x
_atom_site_fract_y
_atom_site_fract_z
K1 0.140 0.000 0.266
Cd1 0.000 0.500 0.500
Cd2 0.157 0.500 0.928
Ag1 0.118 0.000 0.696
```

Results
Energy of formation from the pure elements in eV/atom: -0.08
Calculated volume in A^3/atom: 29.97

---

Record 12
Entry from Alexandria: crystalline K3Cd5Ag2 at its relaxed geometry (PBE).

Structure (CIF):
```
data_K3Cd5Ag2
_symmetry_space_group_name_H-M 'I b a m'
_symmetry_Int_Tables_number 72
_symmetry_space_group_name_Hall '-I 2 2c'
_cell_length_a 12.764
_cell_length_b 13.992
_cell_length_c 6.914
_cell_angle_alpha 90.00
_cell_angle_beta 90.00
_cell_angle_gamma 90.00
loop_
_atom_site_label
_atom_site_fract_x
_atom_site_fract_y
_atom_site_fract_z
K1 0.000 0.000 0.250
K2 0.242 0.376 0.000
Cd1 0.000 0.256 0.250
Cd2 0.000 0.500 0.250
Cd3 0.139 0.377 0.500
Ag1 0.146 0.157 0.000
```

Results
Energy of formation from the pure elements in eV/atom: -0.03
Calculated volume in A^3/atom: 30.87